Record 1
# Li3Np3SeS8, relaxed, DFT PBE-GGA
# Symmetry: No. 166
# E_form (uncorrected), eV per atom: -1.0137
# Total DFT energy (no corrections), Ry per atom: -0.47173
data_Li3Np3SeS8
_cell_length_a 7.8780
_cell_length_b 7.8767
_cell_length_c 7.5604
_cell_angle_alpha 121.43
_cell_angle_beta 90.00
_cell_angle_gamma 120.01
_space_group_name_H-M_alt 'P 1'
_space_group_IT_number 1
loop_
_space_group_symop_operation_xyz
'x,y,z'
loop_
_atom_site_label
_atom_site_fract_x
_atom_site_fract_y
_atom_site_fract_z
S1 0.2374 0.0022 0.7391
S2 0.2492 0.4985 0.2482
S3 0.7626 0.9978 0.2609
S4 0.7626 0.5253 0.2609
S5 0.7648 0.0022 0.7391
S6 0.2374 0.4747 0.7391
S7 0.7508 0.5015 0.7518
S8 0.2352 0.9978 0.2609
Li1 0.5000 0.5000 0.0000
Li2 0.0000 0.0000 0.0000
Li3 0.0000 0.5000 0.0000
Se1 0.0000 0.0000 0.5000
Np1 0.0000 0.5000 0.5000
Np2 0.5000 0.5000 0.5000
Np3 0.5000 0.0000 0.5000

Record 2
# LiSm3Np3S8, relaxed, DFT PBE-GGA
# Symmetry: No. 166
# E_form (uncorrected), eV per atom: -1.6586
# Total DFT energy (no corrections), Ry per atom: -0.55267
data_LiSm3Np3S8
_cell_length_a 7.8575
_cell_length_b 7.8578
_cell_length_c 7.8778
_cell_angle_alpha 119.92
_cell_angle_beta 89.99
_cell_angle_gamma 120.00
_space_group_name_H-M_alt 'P 1'
_space_group_IT_number 1
loop_
_space_group_symop_operation_xyz
'x,y,z'
loop_
_atom_site_label
_atom_site_fract_x
_atom_site_fract_y
_atom_site_fract_z
Np1 0.5000 0.5000 0.5000
Np2 0.0000 0.5000 0.5000
Np3 0.5000 0.0000 0.5000
S1 0.7473 0.4946 0.7419
S2 0.2513 0.0065 0.2615
S3 0.7553 0.5106 0.2618
S4 0.2527 0.5054 0.2581
S5 0.7487 0.9935 0.7385
S6 0.2446 0.9936 0.7382
S7 0.2447 0.4894 0.7382
S8 0.7554 0.0064 0.2619
Sm1 0.0000 0.5000 0.0000
Sm2 0.0000 0.0000 0.0000
Sm3 0.5000 0.5000 0.0000
Li1 0.0000 0.0000 0.5000

Record 3
# LiSmNpS3, relaxed, DFT PBE-GGA
# Symmetry: No. 11
# E_form (uncorrected), eV per atom: -1.5387
# Total DFT energy (no corrections), Ry per atom: -0.50455
data_LiSmNpS3
_cell_length_a 3.8471
_cell_length_b 8.1192
_cell_length_c 8.4489
_cell_angle_alpha 101.99
_cell_angle_beta 90.00
_cell_angle_gamma 90.00
_space_group_name_H-M_alt 'P 1'
_space_group_IT_number 1
loop_
_space_group_symop_operation_xyz
'x,y,z'
loop_
_atom_site_label
_atom_site_fract_x
_atom_site_fract_y
_atom_site_fract_z
Np1 0.2500 0.6619 0.1674
Np2 0.7500 0.3381 0.8326
S1 0.7500 0.2141 0.4917
S2 0.2500 0.5790 0.8317
S3 0.7500 0.4210 0.1683
S4 0.2500 0.7859 0.5083
S5 0.7500 0.9038 0.1352
S6 0.2500 0.0962 0.8648
Sm1 0.7500 0.8205 0.7830
Sm2 0.2500 0.1795 0.2170
Li1 0.7500 0.9127 0.4186
Li2 0.2500 0.0873 0.5814

Record 4
# LiSm3Np4S8, relaxed, DFT PBE-GGA
# Symmetry: No. 166
# E_form (uncorrected), eV per atom: -1.6229
# Total DFT energy (no corrections), Ry per atom: -0.58257
data_LiSm3Np4S8
_cell_length_a 7.8988
_cell_length_b 7.8945
_cell_length_c 7.8990
_cell_angle_alpha 120.02
_cell_angle_beta 120.00
_cell_angle_gamma 90.00
_space_group_name_H-M_alt 'P 1'
_space_group_IT_number 1
loop_
_space_group_symop_operation_xyz
'x,y,z'
loop_
_atom_site_label
_atom_site_fract_x
_atom_site_fract_y
_atom_site_fract_z
Np1 0.0000 0.0000 0.5000
Np2 0.5000 0.0000 0.5000
Np3 0.0000 0.0000 0.0000
Np4 0.5000 0.0000 0.0000
Sm1 0.5000 0.5000 0.0000
Sm2 0.5000 0.5000 0.5000
Sm3 0.0000 0.5000 0.5000
S1 0.7525 0.2473 0.9949
S2 0.7524 0.2473 0.5049
S3 0.2475 0.7527 0.0051
S4 0.7576 0.7527 0.0051
S5 0.2476 0.7527 0.4951
S6 0.2424 0.2473 0.9949
S7 0.7530 0.7591 0.5060
S8 0.2470 0.2409 0.4940
Li1 0.0000 0.5000 0.0000

Record 5
# Li2SmNpS4, relaxed, DFT PBE-GGA
# Symmetry: No. 10
# E_form (uncorrected), eV per atom: -1.5680
# Total DFT energy (no corrections), Ry per atom: -0.46434
data_Li2SmNpS4
_cell_length_a 3.9747
_cell_length_b 6.8830
_cell_length_c 6.5973
_cell_angle_alpha 110.51
_cell_angle_beta 90.00
_cell_angle_gamma 90.00
_space_group_name_H-M_alt 'P 1'
_space_group_IT_number 1
loop_
_space_group_symop_operation_xyz
'x,y,z'
loop_
_atom_site_label
_atom_site_fract_x
_atom_site_fract_y
_atom_site_fract_z
Sm1 0.0000 0.0000 0.0000
S1 0.5000 0.2552 0.2561
S2 0.0000 0.2537 0.7481
S3 0.5000 0.7448 0.7439
S4 0.0000 0.7463 0.2519
Li1 0.0000 0.5000 0.5000
Li2 0.5000 0.0000 0.5000
Np1 0.5000 0.5000 0.0000

Record 6
# Li2Sm2NpS6, relaxed, DFT PBE-GGA
# Symmetry: No. 12
# E_form (uncorrected), eV per atom: -1.6284
# Total DFT energy (no corrections), Ry per atom: -0.46026
data_Li2Sm2NpS6
_cell_length_a 6.9725
_cell_length_b 6.9725
_cell_length_c 6.5126
_cell_angle_alpha 99.48
_cell_angle_beta 99.48
_cell_angle_gamma 119.93
_space_group_name_H-M_alt 'P 1'
_space_group_IT_number 1
loop_
_space_group_symop_operation_xyz
'x,y,z'
loop_
_atom_site_label
_atom_site_fract_x
_atom_site_fract_y
_atom_site_fract_z
S1 0.6029 0.9322 0.2558
S2 0.2381 0.2381 0.2546
S3 0.0678 0.3971 0.7442
S4 0.3971 0.0678 0.7442
S5 0.9322 0.6029 0.2558
S6 0.7619 0.7619 0.7454
Np1 0.0000 0.0000 0.5000
Sm1 0.3347 0.6653 0.5000
Sm2 0.6653 0.3347 0.5000
Li1 0.8406 0.1594 0.0000
Li2 0.1594 0.8406 0.0000

Record 7
# Li3SmNp3S8, relaxed, DFT PBE-GGA
# Symmetry: No. 166
# E_form (uncorrected), eV per atom: -1.4479
# Total DFT energy (no corrections), Ry per atom: -0.50969
data_Li3SmNp3S8
_cell_length_a 7.9472
_cell_length_b 7.9478
_cell_length_c 7.6446
_cell_angle_alpha 121.28
_cell_angle_beta 90.03
_cell_angle_gamma 119.99
_space_group_name_H-M_alt 'P 1'
_space_group_IT_number 1
loop_
_space_group_symop_operation_xyz
'x,y,z'
loop_
_atom_site_label
_atom_site_fract_x
_atom_site_fract_y
_atom_site_fract_z
Np1 0.5000 0.0000 0.5000
Np2 0.5000 0.5000 0.5000
Np3 0.0000 0.5000 0.5000
S1 0.7487 0.0053 0.2539
S2 0.2513 0.5024 0.7461
S3 0.7494 0.4986 0.7481
S4 0.2506 0.5014 0.2519
S5 0.7437 0.9947 0.7461
S6 0.7487 0.4976 0.2539
S7 0.2513 0.9947 0.7461
S8 0.2563 0.0053 0.2539
Li1 0.0000 0.0000 0.0000
Li2 0.5000 0.5000 0.0000
Li3 0.0000 0.5000 0.0000
Sm1 0.0000 0.0000 0.5000

Record 8
# LiSm2NpS5, relaxed, DFT PBE-GGA
# Symmetry: No. 36
# E_form (uncorrected), eV per atom: -1.6859
# Total DFT energy (no corrections), Ry per atom: -0.49083
data_LiSm2NpS5
_cell_length_a 3.9552
_cell_length_b 8.4338
_cell_length_c 11.8459
_cell_angle_alpha 90.00
_cell_angle_beta 90.00
_cell_angle_gamma 103.56
_space_group_name_H-M_alt 'P 1'
_space_group_IT_number 1
loop_
_space_group_symop_operation_xyz
'x,y,z'
loop_
_atom_site_label
_atom_site_fract_x
_atom_site_fract_y
_atom_site_fract_z
S1 0.6918 0.3835 0.8441
S2 0.7118 0.4236 0.1622
S3 0.3082 0.6165 0.3440
S4 0.6342 0.2684 0.5001
S5 0.3658 0.7315 0.0001
S6 0.0474 0.0949 0.0707
S7 0.2882 0.5764 0.6622
S8 0.4998 0.9996 0.7813
S9 0.5002 0.0004 0.2812
S10 0.9526 0.9052 0.5708
Li1 0.4832 0.9664 0.4778
Li2 0.5168 0.0336 0.9778
Sm1 0.1248 0.2496 0.2979
Sm2 0.8752 0.7503 0.7980
Sm3 0.8910 0.7819 0.1861
Sm4 0.1090 0.2181 0.6862
Np1 0.1993 0.3985 0.0038
Np2 0.8007 0.6015 0.5037

Record 9
# Li3Sm3NpS8, relaxed, DFT PBE-GGA
# Symmetry: No. 166
# E_form (uncorrected), eV per atom: -1.6822
# Total DFT energy (no corrections), Ry per atom: -0.44634
data_Li3Sm3NpS8
_cell_length_a 8.0516
_cell_length_b 8.0513
_cell_length_c 7.7184
_cell_angle_alpha 121.45
_cell_angle_beta 90.00
_cell_angle_gamma 120.00
_space_group_name_H-M_alt 'P 1'
_space_group_IT_number 1
loop_
_space_group_symop_operation_xyz
'x,y,z'
loop_
_atom_site_label
_atom_site_fract_x
_atom_site_fract_y
_atom_site_fract_z
Li1 0.0000 0.5000 0.0000
Li2 0.5000 0.5000 0.0000
Li3 0.0000 0.0000 0.0000
S1 0.7617 0.0032 0.7446
S2 0.2415 0.0032 0.7446
S3 0.2415 0.4830 0.7445
S4 0.7585 0.9968 0.2554
S5 0.7512 0.5025 0.7537
S6 0.7585 0.5170 0.2555
S7 0.2488 0.4975 0.2463
S8 0.2383 0.9968 0.2554
Sm1 0.0000 0.5000 0.5000
Sm2 0.5000 0.5000 0.5000
Sm3 0.5000 0.0000 0.5000
Np1 0.0000 0.0000 0.5000

Record 10
# Li4Sm3NpS8, relaxed, DFT PBE-GGA
# Symmetry: No. 166
# E_form (uncorrected), eV per atom: -1.6826
# Total DFT energy (no corrections), Ry per atom: -0.43499
data_Li4Sm3NpS8
_cell_length_a 7.9883
_cell_length_b 7.7247
_cell_length_c 7.9866
_cell_angle_alpha 121.16
_cell_angle_beta 120.01
_cell_angle_gamma 90.00
_space_group_name_H-M_alt 'P 1'
_space_group_IT_number 1
loop_
_space_group_symop_operation_xyz
'x,y,z'
loop_
_atom_site_label
_atom_site_fract_x
_atom_site_fract_y
_atom_site_fract_z
S1 0.7501 0.2462 0.5003
S2 0.7545 0.7538 0.0043
S3 0.7521 0.7558 0.5041
S4 0.2479 0.2442 0.4959
S5 0.7502 0.2462 0.9957
S6 0.2499 0.7538 0.4997
S7 0.2498 0.7538 0.0043
S8 0.2455 0.2462 0.9957
Li1 0.0000 0.0000 0.0000
Li2 0.5000 0.0000 0.5000
Li3 0.5000 0.0000 0.0000
Li4 0.0000 0.0000 0.5000
Sm1 0.0000 0.5000 0.5000
Sm2 0.5000 0.5000 0.5000
Sm3 0.5000 0.5000 0.0000
Np1 0.0000 0.5000 0.0000

Record 11
# Li4SmNp3S8, relaxed, DFT PBE-GGA
# Symmetry: No. 166
# E_form (uncorrected), eV per atom: -1.4654
# Total DFT energy (no corrections), Ry per atom: -0.49456
data_Li4SmNp3S8
_cell_length_a 7.9009
_cell_length_b 7.6628
_cell_length_c 7.9018
_cell_angle_alpha 121.03
_cell_angle_beta 120.00
_cell_angle_gamma 90.00
_space_group_name_H-M_alt 'P 1'
_space_group_IT_number 1
loop_
_space_group_symop_operation_xyz
'x,y,z'
loop_
_atom_site_label
_atom_site_fract_x
_atom_site_fract_y
_atom_site_fract_z
S1 0.2530 0.2455 0.9993
S2 0.2538 0.7545 0.0007
S3 0.7470 0.7545 0.0007
S4 0.7462 0.2453 0.4924
S5 0.2538 0.7547 0.5076
S6 0.2505 0.2513 0.5010
S7 0.7495 0.7487 0.4990
S8 0.7462 0.2455 0.9993
Li1 0.0000 0.0000 0.0000
Li2 0.5000 0.0000 0.0000
Li3 0.5000 0.0000 0.5000
Li4 0.0000 0.0000 0.5000
Sm1 0.0000 0.5000 0.0000
Np1 0.0000 0.5000 0.5000
Np2 0.5000 0.5000 0.0000
Np3 0.5000 0.5000 0.5000

Record 12
# Li2NpSnS4, relaxed, DFT PBE-GGA
# Symmetry: No. 10
# E_form (uncorrected), eV per atom: -1.0637
# Total DFT energy (no corrections), Ry per atom: -0.42069
data_Li2NpSnS4
_cell_length_a 3.9397
_cell_length_b 6.5158
_cell_length_c 7.0870
_cell_angle_alpha 68.77
_cell_angle_beta 90.00
_cell_angle_gamma 90.00
_space_group_name_H-M_alt 'P 1'
_space_group_IT_number 1
loop_
_space_group_symop_operation_xyz
'x,y,z'
loop_
_atom_site_label
_atom_site_fract_x
_atom_site_fract_y
_atom_site_fract_z
Np1 0.0000 0.5000 0.5000
S1 0.0000 0.2499 0.2762
S2 0.5000 0.7510 0.2569
S3 0.5000 0.2490 0.7431
S4 0.0000 0.7501 0.7238
Sn1 0.5000 0.5000 0.0000
Li1 0.5000 0.0000 0.5000
Li2 0.0000 0.0000 0.0000

Number 1: total magnetization 11.9 μB/cell. Number 2: total magnetization 12.2 μB/cell. Number 3: total magnetization 9.0 μB/cell. Number 4: total magnetization 17.8 μB/cell. Number 5: total magnetization 4.0 μB/cell. Number 6: total magnetization 3.0 μB/cell. Number 7: total magnetization 11.0 μB/cell. Number 8: total magnetization 7.9 μB/cell. Number 9: total magnetization 3.0 μB/cell. Number 10: total magnetization 4.0 μB/cell. Number 11: total magnetization 12.0 μB/cell. Number 12: total magnetization 3.0 μB/cell.